Entry 1:
An optimized crystal structure of Mg2TaRu, computed with PBE.

abc: 3.2277 4.5567 9.4195
angles: 90.00 90.00 90.00
Space group Cmmm (No. 65)
Unique sites:
Mg: 0.0000 0.0000 0.2280
Ta: 0.0000 0.5000 0.5000
Ru: 0.0000 0.5000 0.0000

As for the calculated total energy: -5.832 eV per atom. The crystal system is orthorhombic. The value obtained for the total moment is 0.631 μB per formula unit.

---

Entry 2:
An optimized crystal structure of MgTaRu, computed with PBE.

abc: 4.4471 4.4471 2.8983
angles: 90.00 90.00 120.00
Space group P3m1 (No. 156)
Unique sites:
Mg: 0.0000 0.0000 0.0000
Ta: 0.6667 0.3333 0.5786
Ru: 0.3333 0.6667 0.3267

As for the calculated total energy: -7.582 eV per atom. The crystal system is trigonal. The value obtained for the total moment is 0.000 μB per formula unit.

---

Entry 3:
An optimized crystal structure of Mg2TaRu, computed with PBE.

abc: 7.5187 7.5187 5.2483
angles: 90.00 90.00 90.00
Space group I-42d (No. 122)
Unique sites:
Mg: 0.2159 0.2500 0.1250
Ta: 0.0000 0.0000 0.5000
Ru: 0.0000 0.0000 0.0000

As for the calculated total energy: -5.387 eV per atom. The crystal system is tetragonal. The value obtained for the total moment is 0.000 μB per formula unit.

---

Entry 4:
An optimized crystal structure of MgTa2Ru, computed with PBE.

abc: 4.0078 4.0078 8.4606
angles: 90.00 90.00 90.00
Space group I4/mmm (No. 139)
Unique sites:
Mg: 0.0000 0.0000 0.0000
Ta: 0.0000 0.5000 0.2500
Ru: 0.0000 0.0000 0.5000

As for the calculated total energy: -8.478 eV per atom. The crystal system is tetragonal. The value obtained for the total moment is 0.000 μB per formula unit.